BaSr | PBEsol | relaxed

The structure in POSCAR format:
```
BaSr
1.0
4.140 0.000 0.000
0.000 15.980 0.000
0.000 0.000 6.745
Ba Sr
4 4
direct
0.000 0.178 0.250
0.000 0.822 0.750
0.500 0.322 0.750
0.500 0.678 0.250
0.000 0.435 0.250
0.000 0.565 0.750
0.500 0.065 0.750
0.500 0.935 0.250
```

Properties
Distance to the lowest polymorph of the same formula   40 meV per atom
Space group   No. 63



HgPtAu2 | PBEsol | relaxed

The structure in POSCAR format:
```
HgPtAu2
1.0
5.595 0.000 0.000
0.000 9.888 0.000
-1.479 0.000 2.507
Hg Pt Au
2 2 4
direct
0.000 0.000 0.000
0.500 0.500 0.000
0.000 0.500 0.000
0.500 0.000 0.000
0.250 0.250 0.500
0.250 0.750 0.500
0.750 0.250 0.500
0.750 0.750 0.500
```

Properties
Space group   No. 12



CdCoPS2 | PBEsol | relaxed

The structure in POSCAR format:
```
CdCoPS2
1.0
4.872 0.000 0.000
0.000 4.872 0.000
0.000 0.000 4.791
Cd Co P S
1 1 1 2
direct
0.000 0.000 0.000
0.500 0.500 0.500
0.000 0.000 0.500
0.000 0.500 0.000
0.500 0.000 0.000
```

Properties
Space group   No. 123
Formation energy without anion corrections   1.4748 eV/atom



HgIr2Br | PBEsol | relaxed

The structure in POSCAR format:
```
HgIr2Br
1.0
2.966 0.000 0.000
0.000 2.966 0.000
0.000 0.000 7.504
Hg Ir Br
1 2 1
direct
0.000 0.000 0.000
0.500 0.500 0.266
0.500 0.500 0.734
0.000 0.000 0.500
```

Properties
Space group   No. 123
Formation energy without anion corrections   0.9524 eV/atom



Co2HgRh | PBEsol | relaxed

The structure in POSCAR format:
```
Co2HgRh
1.0
2.856 0.000 0.000
0.000 2.856 0.000
0.000 0.000 6.666
Co Hg Rh
2 1 1
direct
0.000 0.000 0.000
0.500 0.500 0.185
0.000 0.000 0.469
0.500 0.500 0.771
```

Properties
Space group   No. 99



NiMoBr2 | PBEsol | relaxed

The structure in POSCAR format:
```
NiMoBr2
1.0
3.142 0.000 0.000
-1.571 2.721 0.000
0.000 0.000 22.642
Ni Mo Br
3 3 6
direct
0.000 0.000 0.000
0.333 0.667 0.667
0.667 0.333 0.333
0.000 0.000 0.500
0.333 0.667 0.167
0.667 0.333 0.833
0.000 0.000 0.252
0.000 0.000 0.748
0.333 0.667 0.415
0.333 0.667 0.919
0.667 0.333 0.081
0.667 0.333 0.585
```

Properties
Distance to the lowest polymorph of the same formula   0 meV per atom
Space group   No. 166
Formation energy without anion corrections   0.4603 eV/atom



TlMoS3 | PBEsol | relaxed

The structure in POSCAR format:
```
TlMoS3
1.0
4.948 0.000 0.000
0.000 4.948 0.000
0.000 0.000 4.948
Tl Mo S
1 1 3
direct
0.000 0.000 0.000
0.500 0.500 0.500
0.000 0.000 0.500
0.000 0.500 0.000
0.500 0.000 0.000
```

Properties
Space group   No. 221
Formation energy without anion corrections   1.3504 eV/atom



ZnCuPt2 | PBEsol | relaxed

The structure in POSCAR format:
```
ZnCuPt2
1.0
3.957 0.000 0.000
0.000 3.957 0.000
0.000 0.000 6.943
Zn Cu Pt
2 2 4
direct
0.000 0.000 0.000
0.500 0.500 0.500
0.000 0.000 0.500
0.500 0.500 0.000
0.000 0.500 0.250
0.000 0.500 0.750
0.500 0.000 0.250
0.500 0.000 0.750
```

Properties
Space group   No. 139



LiSbAu2 | PBEsol | relaxed

The structure in POSCAR format:
```
LiSbAu2
1.0
4.118 0.000 0.000
0.000 4.118 0.000
0.000 0.000 8.443
Li Sb Au
2 2 4
direct
0.000 0.000 0.000
0.500 0.500 0.500
0.000 0.500 0.750
0.500 0.000 0.250
0.000 0.000 0.500
0.000 0.500 0.250
0.500 0.000 0.750
0.500 0.500 0.000
```

Properties
Space group   No. 119
Formation energy without anion corrections   -0.2855 eV/atom



CaWO3 | PBEsol | relaxed

The structure in POSCAR format:
```
CaWO3
1.0
5.619 0.000 0.000
0.000 7.758 0.000
0.000 0.000 5.399
Ca W O
4 4 12
direct
0.054 0.250 0.013
0.446 0.750 0.513
0.554 0.250 0.487
0.946 0.750 0.987
0.000 0.000 0.500
0.000 0.500 0.500
0.500 0.000 0.000
0.500 0.500 0.000
0.019 0.750 0.422
0.210 0.541 0.794
0.210 0.959 0.794
0.290 0.041 0.294
0.290 0.459 0.294
0.481 0.250 0.922
0.519 0.750 0.078
0.710 0.541 0.706
0.710 0.959 0.706
0.790 0.041 0.206
0.790 0.459 0.206
0.981 0.250 0.578
```

Properties
Space group   No. 62
Formation energy without anion corrections   -2.3666 eV/atom



Y2SiAg2 | PBEsol | relaxed

The structure in POSCAR format:
```
Y2SiAg2
1.0
3.670 0.000 0.000
0.000 3.670 0.000
0.000 0.000 16.664
Y Si Ag
4 2 4
direct
0.000 0.000 0.098
0.000 0.000 0.902
0.500 0.500 0.402
0.500 0.500 0.598
0.000 0.000 0.500
0.500 0.500 0.000
0.000 0.500 0.250
0.000 0.500 0.750
0.500 0.000 0.250
0.500 0.000 0.750
```

Properties
Space group   No. 139
Formation energy without anion corrections   -0.1968 eV/atom



P2RuS2 | PBEsol | relaxed

The structure in POSCAR format:
```
P2RuS2
1.0
4.433 0.000 0.000
0.000 4.433 0.000
0.000 0.000 4.614
P Ru S
2 1 2
direct
0.000 0.000 0.000
0.500 0.500 0.000
0.000 0.000 0.500
0.000 0.500 0.500
0.500 0.000 0.500
```

Properties
Space group   No. 123
Formation energy without anion corrections   0.7603 eV/atom



AlCdTe2 | PBEsol | relaxed

The structure in POSCAR format:
```
AlCdTe2
1.0
4.002 0.000 0.000
-2.001 3.466 0.000
0.000 0.000 25.986
Al Cd Te
3 3 6
direct
0.000 0.000 0.000
0.333 0.667 0.667
0.667 0.333 0.333
0.000 0.000 0.500
0.333 0.667 0.167
0.667 0.333 0.833
0.000 0.000 0.392
0.000 0.000 0.608
0.333 0.667 0.059
0.333 0.667 0.275
0.667 0.333 0.725
0.667 0.333 0.941
```

Properties
Distance to the lowest polymorph of the same formula   0 meV per atom
Space group   No. 166
Formation energy without anion corrections   -0.0735 eV/atom



YAgIr2 | PBEsol | relaxed

The structure in POSCAR format:
```
YAgIr2
1.0
10.514 0.000 0.000
0.000 2.986 0.000
-2.239 0.000 4.336
Y Ag Ir
2 2 4
direct
0.000 0.000 0.000
0.500 0.500 0.000
0.271 0.500 0.394
0.771 0.000 0.394
0.023 0.500 0.507
0.240 0.000 0.881
0.523 0.000 0.507
0.740 0.500 0.881
```

Properties
Distance to the lowest polymorph of the same formula   0 meV per atom
Space group   No. 8



CaHgN2O | PBEsol | relaxed

The structure in POSCAR format:
```
CaHgN2O
1.0
4.559 0.000 0.000
0.000 4.559 0.000
0.000 0.000 4.258
Ca Hg N O
1 1 2 1
direct
0.000 0.000 0.000
0.500 0.500 0.500
0.000 0.500 0.000
0.500 0.000 0.000
0.000 0.000 0.500
```

Properties
Space group   No. 123
Formation energy without anion corrections   1.1963 eV/atom



BaScMo2 | PBEsol | relaxed

The structure in POSCAR format:
```
BaScMo2
1.0
5.058 0.000 0.000
0.000 5.058 0.000
0.000 0.000 6.325
Ba Sc Mo
2 2 4
direct
0.000 0.000 0.000
0.500 0.500 0.500
0.000 0.500 0.250
0.500 0.000 0.750
0.000 0.000 0.500
0.000 0.500 0.750
0.500 0.000 0.250
0.500 0.500 0.000
```

Properties
Distance to the lowest polymorph of the same formula   372 meV per atom
Space group   No. 119



ZrTi2Al | PBEsol | relaxed

The structure in POSCAR format:
```
ZrTi2Al
1.0
4.744 0.000 0.000
0.000 5.831 0.000
0.000 0.000 10.152
Zr Ti Al
4 8 4
direct
0.000 0.249 0.000
0.000 0.251 0.500
0.000 0.749 0.500
0.000 0.751 0.000
0.000 0.000 0.245
0.000 0.500 0.745
0.500 0.000 0.591
0.500 0.246 0.827
0.500 0.254 0.327
0.500 0.500 0.091
0.500 0.746 0.327
0.500 0.754 0.827
0.000 0.000 0.750
0.000 0.500 0.250
0.500 0.000 0.086
0.500 0.500 0.586
```

Properties
Space group   No. 38



KLaTe2 | PBEsol | relaxed

The structure in POSCAR format:
```
KLaTe2
1.0
4.605 0.000 0.000
-2.303 3.988 0.000
0.000 0.000 24.855
K La Te
3 3 6
direct
0.000 0.000 0.000
0.333 0.667 0.667
0.667 0.333 0.333
0.000 0.000 0.170
0.333 0.667 0.836
0.667 0.333 0.503
0.000 0.000 0.575
0.000 0.000 0.764
0.333 0.667 0.241
0.333 0.667 0.431
0.667 0.333 0.097
0.667 0.333 0.908
```

Properties
Space group   No. 160
Formation energy without anion corrections   -1.4247 eV/atom



MnBeZn2 | PBEsol | relaxed

The structure in POSCAR format:
```
MnBeZn2
1.0
2.659 0.000 0.000
0.000 2.659 0.000
0.000 0.000 6.568
Mn Be Zn
1 1 2
direct
0.000 0.000 0.000
0.500 0.500 0.794
0.000 0.000 0.565
0.500 0.500 0.272
```

Properties
Space group   No. 99



SbRu2SeN | PBEsol | relaxed

The structure in POSCAR format:
```
SbRu2SeN
1.0
4.913 0.000 0.000
0.000 4.913 0.000
0.000 0.000 3.899
Sb Ru Se N
1 2 1 1
direct
0.000 0.000 0.000
0.000 0.500 0.000
0.500 0.000 0.000
0.500 0.500 0.500
0.000 0.000 0.500
```

Properties
Space group   No. 123
Formation energy without anion corrections   1.7713 eV/atom



LaMnIn3 | PBEsol | relaxed

The structure in POSCAR format:
```
LaMnIn3
1.0
4.968 0.000 0.000
0.000 4.968 0.000
0.000 0.000 4.968
La Mn In
1 1 3
direct
0.000 0.000 0.000
0.500 0.500 0.500
0.000 0.500 0.500
0.500 0.000 0.500
0.500 0.500 0.000
```

Properties
Space group   No. 221



La3BC | PBEsol | relaxed

The structure in POSCAR format:
```
La3BC
1.0
5.025 0.000 0.000
0.000 5.025 0.000
0.000 0.000 5.025
La B C
3 1 1
direct
0.000 0.000 0.500
0.000 0.500 0.000
0.500 0.000 0.000
0.000 0.000 0.000
0.500 0.500 0.500
```

Properties
Space group   No. 221



KAs2Pt | PBEsol | relaxed

The structure in POSCAR format:
```
KAs2Pt
1.0
4.028 0.000 0.000
-2.014 3.489 0.000
0.000 0.000 19.704
K As Pt
3 6 3
direct
0.000 0.000 0.000
0.333 0.667 0.667
0.667 0.333 0.333
0.000 0.000 0.217
0.000 0.000 0.783
0.333 0.667 0.449
0.333 0.667 0.884
0.667 0.333 0.116
0.667 0.333 0.551
0.000 0.000 0.500
0.333 0.667 0.167
0.667 0.333 0.833
```

Properties
Distance to the lowest polymorph of the same formula   0 meV per atom
Space group   No. 166



NaTaTeF2 | PBEsol | relaxed

The structure in POSCAR format:
```
NaTaTeF2
1.0
4.066 0.000 0.000
0.000 4.066 0.000
0.000 0.000 6.452
Na Ta Te F
1 1 1 2
direct
0.000 0.000 0.000
0.000 0.000 0.500
0.500 0.500 0.000
0.000 0.500 0.500
0.500 0.000 0.500
```

Properties
Space group   No. 123
Formation energy without anion corrections   -0.9950 eV/atom



CrNi2Ir | PBEsol | relaxed

The structure in POSCAR format:
```
CrNi2Ir
1.0
8.376 0.000 0.000
0.000 2.577 0.000
-0.790 0.000 4.286
Cr Ni Ir
2 4 2
direct
0.000 0.000 0.000
0.500 0.500 0.000
0.004 0.500 0.514
0.254 0.000 0.741
0.504 0.000 0.514
0.754 0.500 0.741
0.253 0.500 0.241
0.753 0.000 0.241
```

Properties
Space group   No. 8



RbHgF2 | PBEsol | relaxed

The structure in POSCAR format:
```
RbHgF2
1.0
4.005 0.000 0.000
-2.003 3.469 0.000
0.000 0.000 21.421
Rb Hg F
3 3 6
direct
0.000 0.000 0.000
0.333 0.667 0.667
0.667 0.333 0.333
0.000 0.000 0.500
0.333 0.667 0.167
0.667 0.333 0.833
0.000 0.000 0.117
0.000 0.000 0.883
0.333 0.667 0.550
0.333 0.667 0.783
0.667 0.333 0.217
0.667 0.333 0.450
```

Properties
Space group   No. 166
Formation energy without anion corrections   -1.3690 eV/atom



Er3Si6Pd20 | PBEsol | relaxed

The structure in POSCAR format:
```
Er3Si6Pd20
1.0
0.000 6.052 6.052
6.052 0.000 6.052
6.052 6.052 0.000
Er Si Pd
3 6 20
direct
0.000 0.000 0.000
0.250 0.250 0.250
0.750 0.750 0.750
0.268 0.268 0.732
0.268 0.732 0.268
0.268 0.732 0.732
0.732 0.268 0.268
0.732 0.268 0.732
0.732 0.732 0.268
0.000 0.000 0.345
0.000 0.000 0.655
0.000 0.345 0.000
0.000 0.345 0.655
0.000 0.655 0.000
0.000 0.655 0.345
0.149 0.617 0.617
0.345 0.000 0.000
0.345 0.000 0.655
0.345 0.655 0.000
0.383 0.383 0.383
0.383 0.383 0.851
0.383 0.851 0.383
0.617 0.149 0.617
0.617 0.617 0.149
0.617 0.617 0.617
0.655 0.000 0.000
0.655 0.000 0.345
0.655 0.345 0.000
0.851 0.383 0.383
```

Properties
Space group   No. 225
Formation energy without anion corrections   -0.8635 eV/atom



no.,calculated total energy (eV per atom),ρ (g cm⁻³),total magnetic moment (μB/atom)
1,-1.957,3.35,0.000
2,-3.810,18.91,0.000
3,-3.224,3.89,0.564
4,-4.569,16.72,0.000
5,-5.832,12.87,1.012
6,-4.956,8.09,0.000
7,-4.160,5.44,0.631
8,-5.324,15.86,0.000
9,-3.879,12.12,0.000
10,-8.704,7.67,0.000
11,-5.400,6.24,0.000
12,-5.344,4.16,0.000
13,-3.159,5.45,0.000
14,-7.592,14.18,0.000
15,-3.804,5.34,0.888
16,-7.050,7.68,0.000
17,-7.693,5.06,0.000
18,-4.808,4.73,0.000
19,-4.183,6.96,0.593
20,-5.684,7.36,0.490
21,-4.917,7.29,0.391
22,-5.603,5.75,0.000
23,-5.005,6.91,0.000
24,-5.261,5.75,0.435
25,-8.120,12.98,0.000
26,-2.731,5.42,0.000
27,-6.672,10.48,0.000